No. 1
VASP calculation (GGA-PBEsol) on a relaxed LaBeAl crystal.

abc: 3.1839 3.1839 11.4792
angles: 90.00 90.00 90.00
With the nearest neighbours (Å) after each atom.
Space group I4mm (No. 107)
Asymmetric unit:
La 0.0000 0.0000 0.0000 x2  4 Be 3.11, 4 La 3.18, 5 Al 3.29-3.34
Be 0.0000 0.0000 0.6873 x2  4 Al 2.54
Al 0.0000 0.0000 0.2905 x2  4 Be 2.54

Formation enthalpy at 0 K (eV/atom): 0.06

***

No. 2
VASP calculation (GGA-PBEsol) on a relaxed La2YSc crystal.

abc: 11.3512 3.5370 6.0645
angles: 90.00 100.62 90.00
With the nearest neighbours (Å) after each atom.
Space group C2/m (No. 12)
Asymmetric unit:
La 0.2448 0.0000 0.2428 x4  3 Sc 3.39-3.48, 3 Y 3.43-3.51, 6 La 3.46-3.57
Y 0.0000 0.0000 0.5000 x2  6 La 3.43-3.51, 4 Sc 3.51, 2 Y 3.54
Sc 0.0000 0.5000 0.0000 x2  6 La 3.39-3.48, 4 Y 3.51, 2 Sc 3.54

Formation enthalpy at 0 K (eV/atom): 0.03

***

Number 1: electronic total energy -4.42 eV per atom. Number 2: electronic total energy -6.00 eV per atom.